Entry from Alexandria: DyZn12Cu7 after structural relaxation (PBE).

Structure (extended XYZ):
```
20
Lattice="-5.4061 2.8079 4.7198 -3.2962 -2.4110 -6.5353 3.5677 -5.9172 3.4126" Properties=species:S:1:pos:R:3 pbc="T T T"
Zn -1.1342 -4.0495 4.5511
Cu -4.3512 0.1985 -0.9077
Dy 0.0000 0.0000 0.0000
Cu -2.7031 1.4040 2.3599
Zn -0.5725 -3.0995 2.0666
Zn -1.9334 -5.3400 -2.4787
Zn 0.9918 -5.0253 0.8098
Zn -6.1264 -0.4950 0.7873
Zn -3.1183 -2.7246 3.1218
Zn -3.2012 -0.1803 4.0758
Cu 0.1358 -4.1641 -1.5614
Cu -0.9192 -1.5546 4.0662
Cu -1.6481 -1.2055 -3.2677
Zn -4.0004 -1.4708 -2.9540
Zn -4.5621 -2.4207 -0.4695
Zn -3.4677 -0.6163 1.3420
Cu 1.7839 -2.9586 1.7063
Zn -2.0163 -2.7956 -1.5247
Cu -2.5673 -2.7601 0.7986
Zn -1.6669 -4.9040 0.2551
```

## Properties
Raw total energy   -44.79 eV/cell
N(E_F)   0.212 states/eV/atom
Energy relative to the elements   188.5 meV/atom
Total moment   0.0 μB per formula unit